Record 1
An optimized crystal structure of Ac4LaPm2. Source: Alexandria via LeMat-Bulk, functional PBE.

Structure (CIF):
```
data_Ac4LaPm2
_symmetry_space_group_name_H-M 'P 42/m n m'
_symmetry_Int_Tables_number 136
_symmetry_space_group_name_Hall '-P 4n 2n'
_cell_length_a 9.985
_cell_length_b 9.985
_cell_length_c 6.172
_cell_angle_alpha 90.00
_cell_angle_beta 90.00
_cell_angle_gamma 90.00
loop_
_atom_site_label
_atom_site_fract_x
_atom_site_fract_y
_atom_site_fract_z
Ac1 0.098 0.355 0.000
La1 0.000 0.000 0.000
Pm1 0.177 0.177 0.500
```

Values from the calculation:
N(E_F) in states/eV/f.u.: 9.2
Energy above the most stable polymorph in this dataset in eV per formula unit: 1.72
ρ in g cm⁻³: 7.21

***

Record 2
An optimized crystal structure of AcLa6Pm3. Source: Alexandria via LeMat-Bulk, functional PBE.

Structure (CIF):
```
data_AcLa6Pm3
_symmetry_space_group_name_H-M 'C m c 21'
_symmetry_Int_Tables_number 36
_symmetry_space_group_name_Hall 'C 2c -2'
_cell_length_a 13.816
_cell_length_b 16.215
_cell_length_c 6.694
_cell_angle_alpha 90.00
_cell_angle_beta 90.00
_cell_angle_gamma 90.00
loop_
_atom_site_label
_atom_site_fract_x
_atom_site_fract_y
_atom_site_fract_z
Ac1 0.000 0.158 0.000
La1 0.000 0.063 0.543
La2 0.000 0.257 0.462
La3 0.120 0.424 0.512
La4 0.248 0.204 0.665
Pm1 0.000 0.382 0.003
Pm2 0.196 0.039 0.303
```

Values from the calculation:
N(E_F) in states/eV/f.u.: 14.5
Energy above the most stable polymorph in this dataset in eV per formula unit: 0.00
ρ in g cm⁻³: 6.62

***

Record 3
An optimized crystal structure of Ac6LaPm. Source: Alexandria via LeMat-Bulk, functional PBE.

Structure (CIF):
```
data_Ac6LaPm
_symmetry_space_group_name_H-M 'P 4/m m m'
_symmetry_Int_Tables_number 123
_symmetry_space_group_name_Hall '-P 4 2'
_cell_length_a 5.540
_cell_length_b 5.540
_cell_length_c 11.087
_cell_angle_alpha 90.00
_cell_angle_beta 90.00
_cell_angle_gamma 90.00
loop_
_atom_site_label
_atom_site_fract_x
_atom_site_fract_y
_atom_site_fract_z
Ac1 0.000 0.000 0.000
Ac2 0.000 0.000 0.500
Ac3 0.000 0.500 0.248
La1 0.500 0.500 0.500
Pm1 0.500 0.500 0.000
```

Values from the calculation:
N(E_F) in states/eV/f.u.: 14.2
ρ in g cm⁻³: 8.03
Total energy in eV per formula unit: -34.170

***

Record 4
An optimized crystal structure of Ac3La8Pm3. Source: Alexandria via LeMat-Bulk, functional PBE.

Structure (CIF):
```
data_Ac3La8Pm3
_symmetry_space_group_name_H-M 'I m m m'
_symmetry_Int_Tables_number 71
_symmetry_space_group_name_Hall '-I 2 2'
_cell_length_a 5.969
_cell_length_b 11.281
_cell_length_c 15.934
_cell_angle_alpha 90.00
_cell_angle_beta 90.00
_cell_angle_gamma 90.00
loop_
_atom_site_label
_atom_site_fract_x
_atom_site_fract_y
_atom_site_fract_z
Ac1 0.000 0.000 0.000
Ac2 0.000 0.500 0.319
La1 0.000 0.162 0.279
La2 0.000 0.338 0.104
Pm1 0.000 0.000 0.500
Pm2 0.000 0.296 0.500
```

Values from the calculation:
N(E_F) in states/eV/f.u.: 18.9
Energy above the most stable polymorph in this dataset in eV per formula unit: 0.00
ρ in g cm⁻³: 6.89

***

Record 5
An optimized crystal structure of AcLaPm. Source: Alexandria via LeMat-Bulk, functional PBE.

Structure (CIF):
```
data_AcLaPm
_symmetry_space_group_name_H-M 'I 4 m m'
_symmetry_Int_Tables_number 107
_symmetry_space_group_name_Hall 'I 4 -2'
_cell_length_a 3.825
_cell_length_b 3.825
_cell_length_c 15.924
_cell_angle_alpha 90.00
_cell_angle_beta 90.00
_cell_angle_gamma 90.00
loop_
_atom_site_label
_atom_site_fract_x
_atom_site_fract_y
_atom_site_fract_z
Ac1 0.000 0.000 0.000
La1 0.000 0.000 0.326
Pm1 0.000 0.000 0.669
```

Values from the calculation:
N(E_F) in states/eV/f.u.: 5.9
Energy above the most stable polymorph in this dataset in eV per formula unit: 0.00
ρ in g cm⁻³: 7.28

***

Record 6
An optimized crystal structure of AcLa3Pm3. Source: Alexandria via LeMat-Bulk, functional PBE.

Structure (CIF):
```
data_AcLa3Pm3
_symmetry_space_group_name_H-M 'P 1'
_symmetry_Int_Tables_number 1
_symmetry_space_group_name_Hall 'P 1'
_cell_length_a 6.826
_cell_length_b 13.506
_cell_length_c 13.508
_cell_angle_alpha 117.65
_cell_angle_beta 99.11
_cell_angle_gamma 99.07
loop_
_atom_site_label
_atom_site_fract_x
_atom_site_fract_y
_atom_site_fract_z
Ac1 0.000 0.000 0.000
Ac2 0.001 0.170 0.831
Ac3 0.142 0.356 0.186
Ac4 0.577 0.188 0.019
La1 0.061 0.383 0.464
La2 0.061 0.634 0.214
La3 0.295 0.654 0.024
La4 0.296 0.193 0.485
La5 0.324 0.927 0.759
La6 0.508 0.205 0.285
La7 0.510 0.454 0.036
La8 0.599 0.732 0.773
La9 0.599 0.942 0.564
La10 0.845 0.740 0.571
La11 0.868 0.020 0.280
La12 0.868 0.449 0.850
Pm1 0.084 0.664 0.766
Pm2 0.085 0.935 0.495
Pm3 0.296 0.650 0.481
Pm4 0.338 0.447 0.756
Pm5 0.339 0.926 0.278
Pm6 0.469 0.195 0.744
Pm7 0.469 0.913 0.026
Pm8 0.621 0.460 0.561
Pm9 0.621 0.730 0.291
Pm10 0.723 0.486 0.316
Pm11 0.830 0.206 0.571
Pm12 0.830 0.741 0.037
```

Values from the calculation:
N(E_F) in states/eV/f.u.: 10.6
Energy above the most stable polymorph in this dataset in eV per formula unit: 0.46
ρ in g cm⁻³: 6.82

***

Record 7
An optimized crystal structure of Ac3La3Pm2. Source: Alexandria via LeMat-Bulk, functional PBE.

Structure (CIF):
```
data_Ac3La3Pm2
_symmetry_space_group_name_H-M 'I m m m'
_symmetry_Int_Tables_number 71
_symmetry_space_group_name_Hall '-I 2 2'
_cell_length_a 5.376
_cell_length_b 5.419
_cell_length_c 21.488
_cell_angle_alpha 90.00
_cell_angle_beta 90.00
_cell_angle_gamma 90.00
loop_
_atom_site_label
_atom_site_fract_x
_atom_site_fract_y
_atom_site_fract_z
Ac1 0.000 0.000 0.000
Ac2 0.000 0.500 0.129
La1 0.000 0.000 0.500
La2 0.000 0.500 0.371
Pm1 0.000 0.000 0.250
```

Values from the calculation:
N(E_F) in states/eV/f.u.: 14.3
Energy above the most stable polymorph in this dataset in eV per formula unit: 0.03
ρ in g cm⁻³: 7.36

***

Record 8
An optimized crystal structure of AcLaPm2. Source: Alexandria via LeMat-Bulk, functional PBE.

Structure (CIF):
```
data_AcLaPm2
_symmetry_space_group_name_H-M 'R -3 m'
_symmetry_Int_Tables_number 166
_symmetry_space_group_name_Hall '-R 3 2"'
_cell_length_a 3.7882
_cell_length_b 3.7882
_cell_length_c 36.2664
_cell_angle_alpha 90.00
_cell_angle_beta 90.00
_cell_angle_gamma 120.00
loop_
_atom_site_label
_atom_site_fract_x
_atom_site_fract_y
_atom_site_fract_z
Ac1 0.0000 0.0000 0.0000
La1 0.0000 0.0000 0.5000
Pm1 0.0000 0.0000 0.2485
```

Values from the calculation:
N(E_F) in states/eV/f.u.: 5.6
Energy above the most stable polymorph in this dataset in eV per formula unit: 0.02
ρ in g cm⁻³: 7.25

***

Record 9
An optimized crystal structure of AcLa5Pm4. Source: Alexandria via LeMat-Bulk, functional PBE.

Structure (CIF):
```
data_AcLa5Pm4
_symmetry_space_group_name_H-M 'P 4/m m m'
_symmetry_Int_Tables_number 123
_symmetry_space_group_name_Hall '-P 4 2'
_cell_length_a 3.759
_cell_length_b 3.759
_cell_length_c 26.073
_cell_angle_alpha 90.00
_cell_angle_beta 90.00
_cell_angle_gamma 90.00
loop_
_atom_site_label
_atom_site_fract_x
_atom_site_fract_y
_atom_site_fract_z
Ac1 0.000 0.000 0.000
La1 0.500 0.500 0.108
La2 0.500 0.500 0.304
La3 0.500 0.500 0.500
Pm1 0.000 0.000 0.206
Pm2 0.000 0.000 0.402
```

Values from the calculation:
N(E_F) in states/eV/f.u.: 19.6
Energy above the most stable polymorph in this dataset in eV per formula unit: 0.00
ρ in g cm⁻³: 6.77

***

Record 10
An optimized crystal structure of AcLa7Pm3. Source: Alexandria via LeMat-Bulk, functional PBE.

Structure (CIF):
```
data_AcLa7Pm3
_symmetry_space_group_name_H-M 'P 3 m 1'
_symmetry_Int_Tables_number 156
_symmetry_space_group_name_Hall 'P 3 -2"'
_cell_length_a 7.4317
_cell_length_b 7.4317
_cell_length_c 8.8076
_cell_angle_alpha 90.00
_cell_angle_beta 90.00
_cell_angle_gamma 120.00
loop_
_atom_site_label
_atom_site_fract_x
_atom_site_fract_y
_atom_site_fract_z
Ac1 0.0000 0.0000 0.0000
La1 0.3333 0.6667 0.6907
La2 0.3381 0.1690 0.6660
La3 0.5010 0.0020 0.0217
Pm1 0.1679 0.3357 0.3472
```

Values from the calculation:
N(E_F) in states/eV/f.u.: 16.9
ρ in g cm⁻³: 6.44
Total energy in eV per formula unit: -51.025

***

Record 11
An optimized crystal structure of Ac4La5Pm. Source: Alexandria via LeMat-Bulk, functional PBE.

Structure (CIF):
```
data_Ac4La5Pm
_symmetry_space_group_name_H-M 'P m m n'
_symmetry_Int_Tables_number 59
_cell_length_a 7.402
_cell_length_b 9.014
_cell_length_c 12.690
_cell_angle_alpha 90.00
_cell_angle_beta 90.00
_cell_angle_gamma 90.00
loop_
_symmetry_equiv_pos_as_xyz
'x,y,z'
'-x,-y,-z'
'-x+1/2,-y+1/2,z'
'x+1/2,y+1/2,-z'
'x+1/2,-y,-z'
'-x+1/2,y,z'
'-x,y+1/2,-z'
'x,-y+1/2,z'
loop_
_atom_site_label
_atom_site_fract_x
_atom_site_fract_y
_atom_site_fract_z
Ac1 0.001 0.250 0.032
Ac2 0.250 0.508 0.501
La1 0.002 0.569 0.230
La2 0.250 0.250 0.288
Pm1 0.250 0.750 0.721
```

Values from the calculation:
N(E_F) in states/eV/f.u.: 17.0
Energy above the most stable polymorph in this dataset in eV per formula unit: 1.26
ρ in g cm⁻³: 6.85

***

Record 12
An optimized crystal structure of AcLa7Pm2. Source: Alexandria via LeMat-Bulk, functional PBE.

Structure (CIF):
```
data_AcLa7Pm2
_symmetry_space_group_name_H-M 'C m m m'
_symmetry_Int_Tables_number 65
_symmetry_space_group_name_Hall '-C 2 2'
_cell_length_a 9.128
_cell_length_b 16.245
_cell_length_c 5.791
_cell_angle_alpha 90.00
_cell_angle_beta 90.00
_cell_angle_gamma 90.00
loop_
_atom_site_label
_atom_site_fract_x
_atom_site_fract_y
_atom_site_fract_z
Ac1 0.000 0.000 0.000
La1 0.000 0.246 0.000
La2 0.000 0.500 0.500
La3 0.186 0.118 0.500
Pm1 0.000 0.301 0.500
```

Values from the calculation:
N(E_F) in states/eV/f.u.: 17.4
Energy above the most stable polymorph in this dataset in eV per formula unit: 3.70
ρ in g cm⁻³: 5.76